1.
YTa2CrC4 | GGA-PBE | optimized geometry

Cell lengths 3.200, 5.788, 10.999 Å; angles 90.00, 90.00, 106.05 degrees
Positions (direct):
Cr  0.165  0.330  0.250
Cr  0.835  0.670  0.750
C  0.736  0.471  0.616
C  0.000  0.000  0.000
Ta  0.630  0.259  0.041
C  0.569  0.138  0.250
Ta  0.370  0.741  0.959
Y  0.102  0.203  0.750
C  0.264  0.529  0.116
C  0.736  0.471  0.884
C  0.431  0.862  0.750
Ta  0.630  0.259  0.459
Y  0.898  0.797  0.250
C  0.000  0.000  0.500
C  0.264  0.529  0.384
Ta  0.370  0.741  0.541

Values from the calculation:
- Fermi-level density of states (states/eV per atom) = 0.4218
- E_form (meV per atom) = -363
- symmetry = Cmcm, No. 63


2.
TbCrC | GGA-PBE | optimized geometry

Cell lengths 4.044, 4.044, 5.156 Å; angles 89.95, 90.00, 90.00 degrees
Site moments in Bohr magnetons follow the coordinates.
Positions (direct):
Cr  0.750  0.250  0.500  1.00
C  0.750  0.750  0.440  -0.09
Tb  0.750  0.750  0.950  -0.02
Tb  0.250  0.250  0.050  -0.02
Cr  0.250  0.750  0.500  1.00
C  0.250  0.250  0.560  -0.09

Values from the calculation:
- Fermi-level density of states (states/eV per atom) = 0.9262
- E_form (meV per atom) = 177
- symmetry = P4/nmm, No. 129
- offset from the most stable computed form (eV per atom) = 0.000


- Which of these has the lowest Fermi-level density of states?
  YTa2CrC4